(1)
Material: HoErCd2Au4
Method: DFT, PBE
State: relaxed

The space group is P4/mmm (No. 123) and the conventional cell measures 4.911, 4.911 and 6.945 Å, with angles of 90.00, 90.00 and 90.00 degrees. The distinct sites, in fractional coordinates, are Ho at (0.000, 0.000, 0.000), Er at (0.500, 0.500, 0.500), Cd at (0.000, 0.000, 0.500), Cd at (0.500, 0.500, 0.000) and Au at (0.000, 0.500, 0.250).

The energy is -3.6796 eV/atom. The magnetization comes out at 0.0 μB/f.u. The value obtained for the energy of formation from the pure elements is -0.680 eV/atom.

=====

(2)
Material: Cu2Ag3
Method: DFT, PBE
State: relaxed

The space group is Pm (No. 6) and the conventional cell measures 4.862, 2.844 and 11.380 Å, with angles of 90.00, 97.27 and 90.00 degrees. The distinct sites, in fractional coordinates, are Cu at (0.000, 0.000, 0.000), Cu at (0.083, 0.500, 0.821), Cu at (0.279, 0.500, 0.409), Cu at (0.455, 0.500, 0.009), Ag at (0.182, 0.000, 0.614), Ag at (0.372, 0.000, 0.208), Ag at (0.582, 0.000, 0.824), Ag at (0.682, 0.500, 0.614), Ag at (0.784, 0.000, 0.406) and Ag at (0.872, 0.500, 0.191).

Its energy above the most stable polymorph in this dataset is 0.0636 eV/atom. The energy is -3.0855 eV/atom. The value obtained for the energy of formation from the pure elements is 0.096 eV/atom.

=====

(3)
Material: Nb2FeC
Method: DFT, PBE
State: relaxed

The space group is C2/c (No. 15) and the conventional cell measures 9.301, 5.363 and 13.615 Å, with angles of 90.00, 103.32 and 90.00 degrees. The distinct sites, in fractional coordinates, are Nb at (0.047, 0.083, 0.394), Nb at (0.114, 0.415, 0.591), Nb at (0.220, 0.416, 0.908), Fe at (0.000, 0.422, 0.750), Fe at (0.245, 0.161, 0.750), C at (0.080, 0.241, 0.000) and C at (0.250, 0.250, 0.500).

The energy is -9.6098 eV/atom. The magnetization comes out at 1.4 μB/f.u.

=====

(4)
Material: NbAlCu2
Method: DFT, PBE
State: relaxed

The space group is F-43m (No. 216) and the conventional cell measures 6.108, 6.108 and 6.108 Å, with angles of 90.00, 90.00 and 90.00 degrees. The distinct sites, in fractional coordinates, are Nb at (0.000, 0.000, 0.000), Al at (0.250, 0.250, 0.750), Cu at (0.000, 0.000, 0.500) and Cu at (0.250, 0.250, 0.250).

The energy is -5.2748 eV/atom. The magnetization comes out at 0.0 μB/f.u.

=====

(5)
Material: LuSiGe
Method: DFT, PBE
State: relaxed

The space group is F-43m (No. 216) and the conventional cell measures 6.484, 6.484 and 6.484 Å, with angles of 90.00, 90.00 and 90.00 degrees. The distinct sites, in fractional coordinates, are Lu at (0.000, 0.000, 0.000), Si at (0.250, 0.250, 0.750) and Ge at (0.000, 0.000, 0.500).

Its energy above the most stable polymorph in this dataset is 0.0000 eV/atom. The energy is -4.8985 eV/atom. The magnetization comes out at 0.0 μB/f.u.

=====

(6)
Material: HfBeTcBi
Method: DFT, PBE
State: relaxed

The space group is F-43m (No. 216) and the conventional cell measures 6.601, 6.601 and 6.601 Å, with angles of 90.00, 90.00 and 90.00 degrees. The distinct sites, in fractional coordinates, are Hf at (0.000, 0.000, 0.000), Be at (0.000, 0.000, 0.500), Tc at (0.250, 0.250, 0.750) and Bi at (0.250, 0.250, 0.250).

Its energy above the most stable polymorph in this dataset is 0.2045 eV/atom. The energy is -6.5188 eV/atom. The magnetization comes out at 0.1 μB/f.u.

=====

Please write out number 3 again, unchanged.
Material: Nb2FeC
Method: DFT, PBE
State: relaxed

The space group is C2/c (No. 15) and the conventional cell measures 9.301, 5.363 and 13.615 Å, with angles of 90.00, 103.32 and 90.00 degrees. The distinct sites, in fractional coordinates, are Nb at (0.047, 0.083, 0.394), Nb at (0.114, 0.415, 0.591), Nb at (0.220, 0.416, 0.908), Fe at (0.000, 0.422, 0.750), Fe at (0.245, 0.161, 0.750), C at (0.080, 0.241, 0.000) and C at (0.250, 0.250, 0.500).

The energy is -9.6098 eV/atom. The magnetization comes out at 1.4 μB/f.u.

=====

- What is the energy in the fifth record?
  -4.8985 eV/atom

=====

- Number 1 is which compound?
  HoErCd2Au4